First-principles (PBE) data for an optimized crystal structure of Ce3TlRu, as listed in Alexandria via LeMat-Bulk.

Results
Symmetry   No. 148
Energy relative to the elements   -0.3 eV/f.u.
Total magnetic moment   5.01 μB per cell
Raw total energy   -0.4379 Ry/atom

a = 9.299 Å, b = 9.299 Å, c = 9.299 Å
α = 40.73°, β = 40.73°, γ = 40.73°
Positions (direct):
Ce (0.113, 0.442, 0.752)
Ce (0.248, 0.887, 0.558)
Ce (0.442, 0.752, 0.113)
Ce (0.558, 0.248, 0.887)
Ce (0.752, 0.113, 0.442)
Ce (0.887, 0.558, 0.248)
Tl (0.332, 0.332, 0.332)
Tl (0.668, 0.668, 0.668)
Ru (0.162, 0.162, 0.162)
Ru (0.838, 0.838, 0.838)

First-principles (PBE) data for an optimized crystal structure of Ce4Tl5Ru, as listed in Alexandria via LeMat-Bulk.

Results
Symmetry   No. 12
Energy relative to the elements   -1.9 eV/f.u.
Total magnetic moment   3.56 μB per cell
Raw total energy   -0.3435 Ry/atom

a = 8.539 Å, b = 8.539 Å, c = 7.913 Å
α = 109.97°, β = 109.97°, γ = 31.68°
Positions (direct):
Ce (0.058, 0.058, 0.345)
Ce (0.348, 0.348, 0.251)
Ce (0.652, 0.652, 0.749)
Ce (0.942, 0.942, 0.655)
Tl (0.140, 0.140, 0.017)
Tl (0.279, 0.279, 0.659)
Tl (0.500, 0.500, 0.000)
Tl (0.721, 0.721, 0.341)
Tl (0.860, 0.860, 0.983)
Ru (0.500, 0.500, 0.500)